Computed, not measured: crystalline PaNiPbS4 at its relaxed geometry at the PBE level of DFT.

## Properties
Energy relative to the elements, uncorrected   -0.965 eV/atom

Cell lengths 6.496, 5.722, 8.268 Å; angles 90.00, 106.49, 90.00 degrees
Space group P2_1/m (No. 11)
Asymmetric unit:
Pa (0.244, 0.250, 0.444)
Ni (0.265, 0.750, 0.656)
Pb (0.218, 0.250, 0.948)
S (0.065, 0.750, 0.397)
S (0.072, 0.750, 0.853)
S (0.483, 0.511, 0.279)

Computed, not measured: crystalline LaBe2Sb at its relaxed geometry at the PBE level of DFT.

## Properties
Energy relative to the elements, uncorrected   -0.227 eV/atom

Cell lengths 3.9941, 3.9941, 17.5591 Å; angles 90.00, 90.00, 120.00 degrees
Space group R3m (No. 160, hexagonal axes)
Asymmetric unit:
La (0.0000, 0.0000, 0.0000)
Be (0.0000, 0.0000, 0.2205)
Be (0.0000, 0.0000, 0.5566)
Sb (0.0000, 0.0000, 0.8117)

Computed, not measured: crystalline Th3Zn8Cu3 at its relaxed geometry at the PBE level of DFT.

## Properties
Energy of formation   -21.85 kJ per mole of atoms

Cell lengths 4.444, 8.970, 12.889 Å; angles 90.00, 90.00, 90.00 degrees
Space group Immm (No. 71)
Asymmetric unit:
Th (0.000, 0.000, 0.000)
Th (0.000, 0.000, 0.299)
Zn (0.000, 0.287, 0.130)
Zn (0.000, 0.357, 0.343)
Cu (0.000, 0.180, 0.500)
Cu (0.000, 0.500, 0.000)

Computed, not measured: crystalline BeCr2Pt at its relaxed geometry at the PBE level of DFT.

## Properties
Energy of formation   -21.56 kJ per mole of atoms

Cell lengths 2.944, 2.944, 5.589 Å; angles 90.00, 90.00, 90.00 degrees
Space group P4mm (No. 99)
Asymmetric unit:
Be (0.000, 0.000, 0.000)
Cr (0.000, 0.000, 0.458)
Cr (0.500, 0.500, 0.251)
Pt (0.500, 0.500, 0.782)

Computed, not measured: crystalline Ga2SiPt2 at its relaxed geometry at the PBE level of DFT.

## Properties
Energy relative to the elements, uncorrected   -0.339 eV/atom

Cell lengths 7.562, 7.562, 2.814 Å; angles 90.00, 90.00, 90.00 degrees
Space group P4/mbm (No. 127)
Asymmetric unit:
Ga (0.147, 0.353, 0.000)
Si (0.000, 0.000, 0.500)
Pt (0.152, 0.652, 0.500)

Computed, not measured: crystalline Ga5Co3Ge at its relaxed geometry at the PBE level of DFT.

## Properties
Energy of formation   -13.75 kJ per mole of atoms

Cell lengths 8.461, 8.847, 8.147 Å; angles 90.00, 108.58, 90.00 degrees
Space group C2/m (No. 12)
Asymmetric unit:
Ga (0.000, 0.233, 0.000)
Ga (0.001, 0.235, 0.334)
Ga (0.242, 0.500, 0.910)
Ga (0.243, 0.500, 0.585)
Co (0.000, 0.000, 0.500)
Co (0.000, 0.500, 0.000)
Co (0.005, 0.500, 0.333)
Co (0.007, 0.000, 0.834)
Ge (0.242, 0.500, 0.247)

Computed, not measured: crystalline KTl2 at its relaxed geometry at the PBE level of DFT.

## Properties
Energy of formation   -9.46 kJ per mole of atoms

Cell lengths 9.499, 9.499, 9.499 Å; angles 90.00, 90.00, 90.00 degrees
Space group Fd-3m (No. 227, origin choice 2)
Asymmetric unit:
K (0.125, 0.125, 0.125)
Tl (0.000, 0.000, 0.500)